LiPr2SmS5: relaxed, PBE.

Output
The energy comes out at -5.9954 eV per atom. As for the uncorrected formation energy: -1.903 eV per atom.

a = 4.0353 Å, b = 8.5908 Å, c = 12.0401 Å
α = 90.00°, β = 90.00°, γ = 103.58°
Closest atoms and distances in Å follow each position.
Fractional coordinates of all 18 atoms:
Li: 0.5129 0.0258 0.9833  4 S 2.34-2.50
Li: 0.4871 0.9742 0.4833  4 S 2.34-2.50
Pr: 0.8775 0.7551 0.7977  8 S 2.90-3.16
Pr: 0.1090 0.2180 0.6847  8 S 2.91-3.09
Pr: 0.1225 0.2449 0.2977  8 S 2.90-3.16
Pr: 0.8910 0.7820 0.1847  8 S 2.91-3.09
Sm: 0.8031 0.6062 0.5007  6 S 2.68-2.81
Sm: 0.1969 0.3938 0.0007  6 S 2.68-2.81
S: 0.3637 0.7274 0.9988  1 Li 2.50, 1 Sm 2.79
S: 0.6924 0.3848 0.8406  2 Sm 2.79, 2 Pr 3.09
S: 0.5017 0.0033 0.7853  1 Li 2.39
S: 0.2889 0.5779 0.6617  2 Sm 2.81, 3 Pr 2.99-3.02
S: 0.9552 0.9105 0.5712  2 Li 2.34
S: 0.6363 0.2726 0.4988  1 Li 2.50, 1 Sm 2.79
S: 0.3076 0.6152 0.3406  2 Sm 2.79, 2 Pr 3.09
S: 0.4983 0.9967 0.2853  1 Li 2.39
S: 0.7111 0.4221 0.1617  2 Sm 2.81, 3 Pr 2.99-3.02
S: 0.0448 0.0895 0.0712  2 Li 2.34

PmGa4Hg: relaxed, PBE.

Output
For the energy of formation from the pure elements, the calculation gives -1.38 eV per formula unit. The energy comes out at -3.0906 eV per atom.

a = 5.6382 Å, b = 5.6382 Å, c = 5.6382 Å
α = 60.00°, β = 60.00°, γ = 60.00°
Closest atoms and distances in Å follow each position.
Fractional coordinates of all 6 atoms:
Hg: 0.0000 0.0000 0.0000  12 Ga 3.31, 4 Pm 3.45
Ga: 0.6248 0.6248 0.1256  6 Ga 2.81-2.82
Ga: 0.6248 0.1256 0.6248  6 Ga 2.81-2.82
Ga: 0.6248 0.6248 0.6248  6 Ga 2.81-2.82
Ga: 0.1256 0.6248 0.6248  6 Ga 2.81-2.82
Pm: 0.2500 0.2500 0.2500  12 Ga 3.31, 4 Hg 3.45

NbCuAgRh2: relaxed, PBE.

Output
For the energy of formation from the pure elements, the calculation gives 5.22 eV per formula unit. The energy comes out at -5.3004 eV per atom.

a = 4.5466 Å, b = 4.5466 Å, c = 4.4977 Å
α = 90.00°, β = 90.00°, γ = 90.00°
Closest atoms and distances in Å follow each position.
Fractional coordinates of all 5 atoms:
Nb: 0.0000 0.0000 0.5000  2 Cu 2.25
Rh: 0.0000 0.5000 0.0000  2 Cu 2.27
Rh: 0.5000 0.0000 0.0000  2 Cu 2.27
Cu: 0.0000 0.0000 0.0000  2 Nb 2.25, 4 Rh 2.27
Ag: 0.5000 0.5000 0.5000  8 Rh 3.20, 4 Nb 3.21